The following is a GGA-PBE calculation of an optimized crystal structure of V2H2S, from Alexandria via LeMat-Bulk.

uncorrected energy: -5.7042 eV per atom
DOS at the Fermi energy: 9.53 states/eV/cell
theoretical density: 5.07 g/cm3

a = 5.3578 Å, b = 5.3578 Å, c = 3.1017 Å
α = 90.00°, β = 90.00°, γ = 90.00°
With the nearest neighbours (Å) after each atom.
Space group P4/mbm (No. 127)
Asymmetric unit:
V  0.1686  0.3314  0.0000 x4  4 H 2.07
H  0.0636  0.5636  0.5000 x4  1 H 0.96
S  0.0000  0.0000  0.5000 x2  4 H 2.36, 8 V 2.52